This record from Alexandria describes crystalline Rb2BaZn2O4 at its relaxed geometry. The functional is GGA-PBE. Values from VASP.

Cell and atoms, written as Quantum ESPRESSO input:
```
&SYSTEM
  ibrav = 0, nat = 9, ntyp = 4
/
ATOMIC_SPECIES
Rb 85.47 Rb.upf
Ba 137.33 Ba.upf
Zn 65.41 Zn.upf
O 16.00 O.upf
CELL_PARAMETERS angstrom
6.518 -1.926 0.000
6.518 1.926 0.000
-6.278 0.000 7.205
ATOMIC_POSITIONS angstrom
Rb 0.436 0.000 1.871
Rb 6.322 0.000 5.334
Ba -3.139 0.000 3.602
Zn 3.882 0.000 0.900
Zn 2.877 0.000 6.305
O -2.391 0.000 6.178
O 1.825 0.000 4.715
O 4.933 0.000 2.490
O 9.149 0.000 1.027
```

Output
As for the crystal system: monoclinic. The size of the total moment is 0.00 μB per formula unit. As for the formation energy (no corrections): -1570.2 meV per atom.